Record 1
# Zn6Cu5Pt (PBE, optimized geometry)
# **ΔE_f**: -0.171 eV/atom
# **DOS at the Fermi energy**: 0.2717 states/eV/atom
# **Crystal system**: triclinic
data_Zn6Cu5Pt
_space_group_name_H-M_alt 'P -1'
_space_group_IT_number 2
_space_group_name_Hall '-P 1'
_cell_length_a 3.867
_cell_length_b 6.086
_cell_length_c 7.166
_cell_angle_alpha 89.72
_cell_angle_beta 89.38
_cell_angle_gamma 72.18
loop_
_atom_site_label
_atom_site_type_symbol
_atom_site_fract_x
_atom_site_fract_y
_atom_site_fract_z
Zn1 Zn 0.001 0.000 0.244
Zn2 Zn 0.331 0.335 0.247
Zn3 Zn 0.333 0.335 0.753
Cu1 Cu 0.169 0.663 0.000
Cu2 Cu 0.170 0.659 0.500
Cu3 Cu 0.500 0.000 0.000
Pt1 Pt 0.500 0.000 0.500

=====

Record 2
# ZnCu2Pt (PBE, optimized geometry)
# **ΔE_f**: -0.067 eV/atom
# **DOS at the Fermi energy**: 0.3319 states/eV/atom
# **Crystal system**: orthorhombic
data_ZnCu2Pt
_space_group_name_H-M_alt 'C m m m'
_space_group_IT_number 65
_space_group_name_Hall '-C 2 2'
_cell_length_a 2.829
_cell_length_b 4.511
_cell_length_c 8.618
_cell_angle_alpha 90.00
_cell_angle_beta 90.00
_cell_angle_gamma 90.00
loop_
_atom_site_label
_atom_site_type_symbol
_atom_site_fract_x
_atom_site_fract_y
_atom_site_fract_z
Zn1 Zn 0.000 0.000 0.000
Cu1 Cu 0.000 0.500 0.242
Pt1 Pt 0.000 0.000 0.500

=====

Record 3
# Zn3Cu7Pt (PBE, optimized geometry)
# **ΔE_f**: 0.127 eV/atom
# **DOS at the Fermi energy**: 0.4170 states/eV/atom
# **Crystal system**: monoclinic
data_Zn3Cu7Pt
_space_group_name_H-M_alt 'C 1 2/m 1'
_space_group_IT_number 12
_space_group_name_Hall '-C 2y'
_cell_length_a 8.405
_cell_length_b 8.615
_cell_length_c 4.833
_cell_angle_alpha 90.00
_cell_angle_beta 114.58
_cell_angle_gamma 90.00
loop_
_atom_site_label
_atom_site_type_symbol
_atom_site_fract_x
_atom_site_fract_y
_atom_site_fract_z
Zn1 Zn 0.000 0.000 0.000
Zn2 Zn 0.000 0.213 0.500
Cu1 Cu 0.000 0.500 0.500
Cu2 Cu 0.175 0.243 0.183
Cu3 Cu 0.211 0.000 0.534
Pt1 Pt 0.000 0.500 0.000

=====

Record 4
# Zn3CuPt12 (PBE, optimized geometry)
# **ΔE_f**: -0.284 eV/atom
# **DOS at the Fermi energy**: 0.7833 states/eV/atom
# **Crystal system**: tetragonal
data_Zn3CuPt12
_space_group_name_H-M_alt 'P 4/m m m'
_space_group_IT_number 123
_space_group_name_Hall '-P 4 2'
_cell_length_a 3.930
_cell_length_b 3.930
_cell_length_c 15.679
_cell_angle_alpha 90.00
_cell_angle_beta 90.00
_cell_angle_gamma 90.00
loop_
_atom_site_label
_atom_site_type_symbol
_atom_site_fract_x
_atom_site_fract_y
_atom_site_fract_z
Zn1 Zn 0.000 0.000 0.000
Zn2 Zn 0.000 0.000 0.251
Cu1 Cu 0.000 0.000 0.500
Pt1 Pt 0.000 0.500 0.126
Pt2 Pt 0.000 0.500 0.376
Pt3 Pt 0.500 0.500 0.000
Pt4 Pt 0.500 0.500 0.251
Pt5 Pt 0.500 0.500 0.500